Run A
4
Lattice="1.343 0.775 8.676 -1.343 0.775 8.676 0.000 -1.551 8.676" Properties=species:S:1:pos:R:3 comment="PBE MnCuRe2, relaxed" m_tot_mub_per_fu=0.2 pbc="T T T"
Mn 0.000 0.000 0.000
Cu 0.000 0.000 13.014
Re 0.000 0.000 6.589
Re 0.000 0.000 19.438

Run B
4
Lattice="3.159 0.000 0.000 0.000 3.159 0.000 0.000 0.000 5.429" Properties=species:S:1:pos:R:3 comment="PBE MnCuRe2, relaxed" m_tot_mub_per_fu=1.5 pbc="T T T"
Mn 0.000 0.000 0.000
Cu 0.000 0.000 2.714
Re 1.579 1.579 1.268
Re 1.579 1.579 4.160

Run C
4
Lattice="4.452 -1.332 0.000 4.452 1.332 0.000 -0.759 0.000 4.603" Properties=species:S:1:pos:R:3 comment="PBE MnCuRe2, relaxed" m_tot_mub_per_fu=2.0 pbc="T T T"
Mn 0.000 0.000 0.000
Cu 6.518 0.000 1.054
Re 1.759 0.000 3.396
Re 4.114 0.000 2.249

Run D
4
Lattice="1.556 -2.139 0.000 1.556 2.139 0.000 0.000 0.000 8.394" Properties=species:S:1:pos:R:3 comment="PBE MnCuRe2, relaxed" m_tot_mub_per_fu=2.6 pbc="T T T"
Mn 0.000 0.000 0.000
Cu 1.556 0.000 6.385
Re 0.000 0.000 4.233
Re 1.556 0.000 2.008

Stability ranking, top and bottom: run A is the most stable and run B is the least stable.

Run A
4
Lattice="0.000 3.032 3.032 3.032 0.000 3.032 3.032 3.032 0.000" Properties=species:S:1:pos:R:3 comment="PBE MnCuRe2, relaxed" m_tot_mub_per_fu=2.9 pbc="T T T"
Mn 0.000 0.000 0.000
Cu 4.549 4.549 4.549
Re 1.516 1.516 1.516
Re 3.032 3.032 3.032

Run B
8
Lattice="-3.406 3.406 2.546 3.406 -3.406 2.546 3.406 3.406 -2.546" Properties=species:S:1:pos:R:3 comment="PBE MnCuRe2, relaxed" m_tot_mub_per_fu=0.0 pbc="T T T"
Mn 0.000 0.000 0.000
Mn 0.000 3.406 1.273
Cu 3.406 0.000 1.273
Cu 0.000 0.000 2.546
Re 5.108 1.412 -0.636
Re 1.412 1.703 0.636
Re -1.703 1.993 1.909
Re 1.993 1.703 3.182

Stability ranking, top and bottom: run A is the most stable and run B is the least stable.

Run A
5
Lattice="4.403 0.000 0.000 0.000 4.403 0.000 0.000 0.000 4.403" Properties=species:S:1:pos:R:3 comment="PBE MnCuRe3, relaxed" m_tot_mub_per_fu=0.0 pbc="T T T"
Mn 0.000 0.000 0.000
Cu 2.201 2.201 2.201
Re 0.000 0.000 2.201
Re 0.000 2.201 0.000
Re 2.201 0.000 0.000

Run B
5
Lattice="4.379 0.000 0.000 0.000 4.379 0.000 0.000 0.000 4.379" Properties=species:S:1:pos:R:3 comment="PBE MnCuRe3, relaxed" m_tot_mub_per_fu=0.0 pbc="T T T"
Mn 0.000 0.000 0.000
Cu 2.189 2.189 2.189
Re 0.000 2.189 2.189
Re 2.189 0.000 2.189
Re 2.189 2.189 0.000

Stability ranking, top and bottom: run A is the most stable and run B is the least stable.